Entry 1:
{"formula": "Sb2RuRhI", "functional": "GGA-PBE", "state": "optimized geometry", "cell": [[-2.776, 3.984, -1.086], [-4.129, -2.688, 0.696], [-0.032, 1.426, 5.310]], "species": ["I", "Sb", "Sb", "Rh", "Ru"], "fractional_positions": [[0.000, 0.000, 0.500], [0.000, 0.500, 0.000], [0.500, 0.000, 0.000], [0.500, 0.500, 0.500], [0.000, 0.000, 0.000]], "relative_energy_mev_per_atom": 0, "energy_ev_per_fu": -21.968, "formation_energy_uncorrected_ev_per_atom": 0.8909, "magmom_total_mub_per_cell": 0.4}

***

Entry 2:
{"formula": "Mg5Cu3", "functional": "GGA-PBE", "state": "optimized geometry", "cell": [[7.772, -0.007, -0.014], [-6.052, 4.877, -0.014], [-0.861, -2.437, 7.370]], "species": ["Cu", "Cu", "Cu", "Cu", "Cu", "Cu", "Mg", "Mg", "Mg", "Mg", "Mg", "Mg", "Mg", "Mg", "Mg", "Mg"], "fractional_positions": [[0.165, 0.336, 0.501], [0.250, 0.250, 0.000], [0.336, 0.836, 0.171], [0.665, 0.165, 0.830], [0.750, 0.750, 0.000], [0.836, 0.665, 0.501], [0.080, 0.782, 0.861], [0.219, 0.081, 0.298], [0.250, 0.750, 0.499], [0.282, 0.580, 0.861], [0.420, 0.281, 0.703], [0.581, 0.719, 0.298], [0.719, 0.421, 0.140], [0.751, 0.251, 0.502], [0.781, 0.920, 0.703], [0.921, 0.219, 0.140]], "relative_energy_mev_per_atom": 6, "energy_ev_per_fu": -20.870, "magmom_total_mub_per_cell": 0.0, "formation_energy_kj_per_mol_fu": -59}

***

Entry 3:
{"formula": "TlAs2Se2", "functional": "GGA-PBE", "state": "optimized geometry", "cell": [[-3.522, -1.212, 0.888], [1.490, -2.533, 2.455], [-1.430, 3.823, 7.800]], "species": ["Tl", "As", "As", "Se", "Se"], "fractional_positions": [[0.000, 0.000, 0.000], [0.750, 0.250, 0.500], [0.250, 0.750, 0.500], [0.387, 0.387, 0.226], [0.613, 0.613, 0.774]], "relative_energy_mev_per_atom": 151, "energy_ev_per_fu": -17.775, "formation_energy_uncorrected_ev_per_atom": 0.1719, "magmom_total_mub_per_cell": 0.0}

***

Entry 4:
{"formula": "Mn2TlAu", "functional": "GGA-PBE", "state": "optimized geometry", "cell": [[-3.022, -1.173, 0.364], [0.923, -1.531, 2.729], [-1.702, 5.526, 3.677]], "species": ["Au", "Mn", "Mn", "Tl"], "fractional_positions": [[0.500, 0.500, 0.791], [0.000, 0.000, 0.004], [0.500, 0.500, 0.219], [0.000, 0.000, 0.486]], "relative_energy_mev_per_atom": 40, "energy_ev_per_fu": -22.825, "magmom_total_mub_per_cell": 7.5, "formation_energy_kj_per_mol_fu": 112}

***

Entry 5:
{"formula": "SrPaVN3", "functional": "GGA-PBE", "state": "optimized geometry", "cell": [[-0.164, -1.757, 3.099], [3.860, -5.611, -2.976], [5.888, 4.403, 2.809]], "species": ["Sr", "Sr", "Pa", "Pa", "V", "V", "N", "N", "N", "N", "N", "N"], "fractional_positions": [[0.750, 0.828, 0.816], [0.250, 0.172, 0.184], [0.250, 0.651, 0.165], [0.750, 0.349, 0.835], [0.250, 0.085, 0.594], [0.750, 0.915, 0.406], [0.250, 0.838, 0.465], [0.750, 0.858, 0.154], [0.750, 0.436, 0.125], [0.750, 0.162, 0.535], [0.250, 0.564, 0.875], [0.250, 0.142, 0.846]], "energy_ev_per_fu": -52.177, "formation_energy_uncorrected_ev_per_atom": -1.1507, "magmom_total_mub_per_cell": 0.2}

***

Entry 6:
{"formula": "RbMgScBr6", "functional": "GGA-PBE", "state": "optimized geometry", "cell": [[6.973, 0.000, 0.000], [-3.487, 6.039, 0.000], [0.000, 0.000, 15.533]], "species": ["Rb", "Rb", "Mg", "Mg", "Sc", "Sc", "Br", "Br", "Br", "Br", "Br", "Br", "Br", "Br", "Br", "Br", "Br", "Br"], "fractional_positions": [[0.000, 0.000, 0.000], [0.000, 0.000, 0.500], [0.333, 0.667, 0.250], [0.667, 0.333, 0.750], [0.667, 0.333, 0.250], [0.333, 0.667, 0.750], [0.628, 0.625, 0.150], [0.997, 0.372, 0.150], [0.372, 0.997, 0.650], [0.003, 0.628, 0.850], [0.375, 0.372, 0.350], [0.997, 0.625, 0.350], [0.625, 0.997, 0.850], [0.628, 0.003, 0.350], [0.003, 0.375, 0.650], [0.375, 0.003, 0.150], [0.625, 0.628, 0.650], [0.372, 0.375, 0.850]], "energy_ev_per_fu": -33.866, "formation_energy_uncorrected_ev_per_atom": -1.6594, "magmom_total_mub_per_cell": 0.0}

***

Entry 7:
{"formula": "Ba2TeH2", "functional": "GGA-PBE", "state": "optimized geometry", "cell": [[4.733, 0.000, 0.000], [0.000, 8.147, -0.929], [-2.366, -3.182, 8.276]], "species": ["Ba", "Ba", "Ba", "Ba", "Te", "Te", "H", "H", "H", "H"], "fractional_positions": [[0.886, 0.219, 0.271], [0.386, 0.719, 0.271], [0.114, 0.781, 0.729], [0.614, 0.281, 0.729], [0.750, 0.750, 0.000], [0.250, 0.250, 0.000], [0.057, 0.391, 0.616], [0.441, 0.109, 0.384], [0.943, 0.609, 0.384], [0.559, 0.891, 0.616]], "relative_energy_mev_per_atom": 47, "energy_ev_per_fu": -18.558, "magmom_total_mub_per_cell": 0.0}

***

Entry 8:
{"formula": "CoNiIr2", "functional": "GGA-PBE", "state": "optimized geometry", "cell": [[4.103, 0.000, 0.000], [2.052, 3.554, 0.000], [2.052, 1.185, 3.841]], "species": ["Co", "Ni", "Ir", "Ir"], "fractional_positions": [[0.697, 0.697, 0.908], [0.486, 0.486, 0.543], [0.050, 0.050, 0.849], [0.267, 0.267, 0.199]], "relative_energy_mev_per_atom": 305, "energy_ev_per_fu": -29.368, "magmom_total_mub_per_cell": 1.6, "formation_energy_kj_per_mol_fu": 120}

***

Entry 9:
{"formula": "CsRb2HgSe", "functional": "GGA-PBE", "state": "optimized geometry", "cell": [[6.641, 0.000, 0.000], [0.000, 6.641, 0.000], [0.000, 0.000, 7.038]], "species": ["Cs", "Se", "Hg", "Rb", "Rb"], "fractional_positions": [[0.000, 0.000, 0.500], [0.000, 0.000, 0.000], [0.500, 0.500, 0.500], [0.000, 0.500, 0.000], [0.500, 0.000, 0.000]], "energy_ev_per_fu": -9.511, "formation_energy_uncorrected_ev_per_atom": -0.5873, "magmom_total_mub_per_cell": 0.0}

***

Entry 10:
{"formula": "Tc2MoRu", "functional": "GGA-PBE", "state": "optimized geometry", "cell": [[4.353, 0.000, 0.000], [2.176, 3.770, 0.000], [2.176, 1.257, 3.738]], "species": ["Tc", "Tc", "Mo", "Ru"], "fractional_positions": [[0.026, 0.026, 0.921], [0.250, 0.250, 0.250], [0.500, 0.500, 0.500], [0.723, 0.723, 0.830]], "relative_energy_mev_per_atom": 251, "energy_ev_per_fu": -39.773, "magmom_total_mub_per_cell": 0.0, "formation_energy_kj_per_mol_fu": 103}

***

Entry 11:
{"formula": "LiMgW", "functional": "GGA-PBE", "state": "optimized geometry", "cell": [[-0.179, -3.243, -3.301], [-1.126, -4.357, 1.094], [-4.085, -1.737, -1.320]], "species": ["Li", "Mg", "W"], "fractional_positions": [[0.000, 0.000, 0.000], [0.500, 0.500, 0.500], [0.750, 0.750, 0.750]], "relative_energy_mev_per_atom": 1384, "energy_ev_per_fu": -11.203, "magmom_total_mub_per_cell": 3.3, "formation_energy_kj_per_mol_fu": 507}

***

Entry 12:
{"formula": "LaGdSc2", "functional": "GGA-PBE", "state": "optimized geometry", "cell": [[3.916, 0.000, 0.000], [0.000, 3.916, 0.000], [0.000, 0.000, 7.680]], "species": ["Sc", "Sc", "Gd", "La"], "fractional_positions": [[0.000, 0.000, 0.761], [0.000, 0.000, 0.239], [0.500, 0.500, 0.000], [0.500, 0.500, 0.500]], "relative_energy_mev_per_atom": 6, "energy_ev_per_fu": -31.410, "magmom_total_mub_per_cell": 7.3, "formation_energy_kj_per_mol_fu": 25}